# 1
{
  "formula": "Rb2SbCl8",
  "functional": "PBE",
  "state": "relaxed",
  "cell": [[6.2764, -5.1154, 0.0000], [6.2764, 5.1154, 0.0000], [-0.5196, 0.0000, 6.4634]],
  "species": ["Rb", "Rb", "Sb", "Cl", "Cl", "Cl", "Cl", "Cl", "Cl", "Cl", "Cl"],
  "frac_coords": [[0.1605, 0.1605, 0.3795], [0.8395, 0.8395, 0.6205], [0.5000, 0.5000, 0.5000], [0.0812, 0.0812, 0.8836], [0.2263, 0.5632, 0.3165], [0.3756, 0.3756, 0.7636], [0.4368, 0.7737, 0.6835], [0.5632, 0.2263, 0.3165], [0.6244, 0.6244, 0.2364], [0.7737, 0.4368, 0.6835], [0.9188, 0.9188, 0.1164]],
  "total_energy_ev_per_atom": -2.940,
  "space_group": "C2/m, No. 12"
}



# 2
{
  "formula": "Pm2YIn6",
  "functional": "PBE",
  "state": "relaxed",
  "cell": [[8.6455, 0.0000, 0.0000], [-4.3227, 7.4872, 0.0000], [0.0000, 0.0000, 3.6515]],
  "species": ["Pm", "Pm", "Y", "In", "In", "In", "In", "In", "In"],
  "frac_coords": [[0.3333, 0.6667, 0.0000], [0.6667, 0.3333, 0.0000], [0.0000, 0.0000, 0.0000], [0.0000, 0.3322, 0.5000], [0.0000, 0.6678, 0.5000], [0.3322, 0.0000, 0.5000], [0.3322, 0.3322, 0.5000], [0.6678, 0.0000, 0.5000], [0.6678, 0.6678, 0.5000]],
  "dos_ef_per_ev_cell": 3.04,
  "total_energy_ev_per_atom": -4.045,
  "ef_mev_per_atom": -445,
  "space_group": "P6/mmm, No. 191"
}



# 3
{
  "formula": "Na2Cu4As3Au",
  "functional": "PBE",
  "state": "relaxed",
  "cell": [[4.1221, 0.0000, 0.0000], [0.0000, 4.1221, 0.0000], [0.0000, 0.0000, 10.5642]],
  "species": ["Na", "Na", "Cu", "Cu", "Cu", "Cu", "As", "As", "As", "Au"],
  "frac_coords": [[0.0000, 0.5000, 0.2435], [0.5000, 0.0000, 0.7565], [0.0000, 0.0000, 0.0000], [0.0000, 0.5000, 0.6469], [0.5000, 0.0000, 0.3531], [0.5000, 0.5000, 0.0000], [0.0000, 0.5000, 0.8692], [0.5000, 0.0000, 0.1308], [0.5000, 0.5000, 0.5000], [0.0000, 0.0000, 0.5000]],
  "dos_ef_per_ev_cell": 4.25,
  "total_energy_ev_per_atom": -3.781,
  "ef_mev_per_atom": -156,
  "space_group": "P-4m2, No. 115"
}